1.
Computed, not measured: crystalline OsBrCl at its relaxed geometry at the PBE level of DFT.

extended XYZ file:
```
3
Lattice="-6.294 -4.658 2.371 -4.378 -6.429 0.329 0.026 -0.210 3.307" Properties=species:S:1:pos:R:3 pbc="T T T"
Os -3.504 -3.799 3.106
Br -10.243 -10.651 2.724
Cl -7.572 -7.935 2.876
```

Computed properties:
- SG: Fmm2, No. 42
- Magnetic moment: 0.0000 μB/atom
- Energy relative to the elements, uncorrected: 0.514 eV/atom
- Energy relative to the lowest polymorph listed for this composition: 214 meV per atom

2.
Computed, not measured: crystalline CaLaP at its relaxed geometry at the PBE level of DFT.

extended XYZ file:
```
3
Lattice="-0.114 1.729 6.938 0.699 -1.852 6.871 3.490 0.778 0.836" Properties=species:S:1:pos:R:3 pbc="T T T"
Ca 3.367 0.739 1.388
La 2.664 0.521 4.526
P 1.535 0.171 9.567
```

Computed properties:
- SG: I4mm, No. 107
- Magnetic moment: 0.0000 μB/atom
- E_form: -784 meV/atom

3.
Computed, not measured: crystalline Er5Ga2Ge at its relaxed geometry at the PBE level of DFT.

extended XYZ file:
```
16
Lattice="6.896 0.000 -3.255 -1.537 6.723 -3.255 -0.136 -0.170 8.644" Properties=species:S:1:pos:R:3 pbc="T T T"
Er 2.415 4.494 2.162
Er 4.061 6.558 -3.284
Er 0.000 0.000 0.000
Er 2.680 3.361 -3.255
Er 1.163 -0.006 5.418
Er 4.351 1.132 3.239
Er -0.773 3.356 4.341
Er 0.873 5.420 -1.105
Er 5.996 3.197 -2.207
Er 2.808 2.059 -0.028
Ga 0.300 2.509 -1.628
Ga 4.127 0.852 -2.453
Ga 1.232 5.871 -4.058
Ga 5.059 4.213 -4.883
Ge 3.952 4.957 -0.561
Ge 1.272 1.596 2.695
```

Computed properties:
- SG: I4/mcm, No. 140
- Magnetic moment: 0.0014 μB/atom
- E_form: -575 meV/atom

4.
Computed, not measured: crystalline SrPmSn at its relaxed geometry at the PBE level of DFT.

extended XYZ file:
```
6
Lattice="-4.052 -2.865 -0.496 1.506 -1.339 -4.560 4.334 -6.713 3.406" Properties=species:S:1:pos:R:3 pbc="T T T"
Sr 0.445 -7.265 -2.439
Sr 0.481 -3.249 -0.884
Pm 1.241 -8.995 1.057
Pm 4.019 -8.232 -0.975
Sn -1.275 -4.603 -3.792
Sn 2.201 -5.910 0.468
```

Computed properties:
- SG: P4/nmm, No. 129
- Magnetic moment: 0.3394 μB/atom
- E_form: -559 meV/atom
- Energy relative to the lowest polymorph listed for this composition: 0 meV per atom

5.
Computed, not measured: crystalline AlSbI2Br at its relaxed geometry at the PBE level of DFT.

extended XYZ file:
```
5
Lattice="6.146 0.000 0.000 0.000 5.734 0.000 0.000 0.000 6.146" Properties=species:S:1:pos:R:3 pbc="T T T"
I 0.000 0.000 3.073
I 3.073 0.000 0.000
Sb 3.073 2.867 3.073
Al 0.000 2.867 0.000
Br 0.000 0.000 0.000
```

Computed properties:
- SG: P4/mmm, No. 123
- Magnetic moment: 0.4952 μB/atom
- Energy relative to the elements, uncorrected: 0.706 eV/atom
- Energy relative to the lowest polymorph listed for this composition: 591 meV per atom

6.
Computed, not measured: crystalline Dy3AlAu2 at its relaxed geometry at the PBE level of DFT.

extended XYZ file:
```
6
Lattice="3.576 0.000 0.000 0.000 3.576 0.000 0.000 0.000 10.973" Properties=species:S:1:pos:R:3 pbc="T T T"
Dy 0.000 0.000 0.000
Dy 0.000 0.000 7.347
Dy 0.000 0.000 3.626
Al 1.788 1.788 5.487
Au 1.788 1.788 9.103
Au 1.788 1.788 1.870
```

Computed properties:
- SG: P4/mmm, No. 123
- Magnetic moment: 0.0000 μB/atom
- E_form: -707 meV/atom

7.
Computed, not measured: crystalline LiHoPaRu at its relaxed geometry at the PBE level of DFT.

extended XYZ file:
```
4
Lattice="-2.211 3.980 -1.772 -4.712 0.823 0.994 -1.263 3.637 3.008" Properties=species:S:1:pos:R:3 pbc="T T T"
Ru -6.140 6.330 1.672
Pa -4.093 4.220 1.115
Ho 0.000 0.000 0.000
Li -2.047 2.110 0.557
```

Computed properties:
- SG: F-43m, No. 216
- Magnetic moment: 0.0001 μB/atom
- E_form: -82 meV/atom

8.
Computed, not measured: crystalline Tb3SmEr at its relaxed geometry at the PBE level of DFT.

extended XYZ file:
```
10
Lattice="-1.552 -2.922 -1.427 7.485 -3.091 2.751 -4.797 -2.470 10.277" Properties=species:S:1:pos:R:3 pbc="T T T"
Tb 0.107 -3.063 -0.672
Tb 1.029 -5.420 12.273
Tb -2.281 -4.293 4.445
Tb 3.417 -4.190 7.156
Tb 4.242 -5.310 3.981
Tb -3.105 -3.173 7.620
Sm 2.684 -2.281 3.982
Sm -1.548 -6.202 7.619
Er -0.324 -2.213 2.594
Er 1.461 -6.270 9.006
```

Computed properties:
- SG: P2_1/m, No. 11
- Magnetic moment: 0.0000 μB/atom
- E_form: 298 meV/atom
- Energy relative to the lowest polymorph listed for this composition: 284 meV per atom

9.
Computed, not measured: crystalline Pr4Dy3TmSe8 at its relaxed geometry at the PBE level of DFT.

extended XYZ file:
```
16
Lattice="-4.945 -2.125 6.202 4.245 -7.256 0.900 4.124 7.096 0.283" Properties=species:S:1:pos:R:3 pbc="T T T"
Pr -2.473 -1.062 3.101
Pr -0.411 2.486 3.242
Pr 0.000 0.000 0.000
Pr 2.062 3.548 0.141
Dy -0.350 -4.690 3.551
Dy 1.712 -1.143 3.692
Dy 4.185 -0.080 0.591
Tm 2.123 -3.628 0.450
Se 5.975 1.202 2.434
Se 3.897 -2.377 2.293
Se 1.986 1.142 1.975
Se 3.481 0.130 5.562
Se -0.057 -2.415 1.822
Se 1.438 -3.427 5.409
Se -0.473 0.092 5.091
Se -2.551 -3.487 4.950
```

Computed properties:
- SG: R-3m, No. 166
- Magnetic moment: 0.0000 μB/atom
- Energy relative to the elements, uncorrected: -1.791 eV/atom

10.
Computed, not measured: crystalline NbOF3 at its relaxed geometry at the PBE level of DFT.

extended XYZ file:
```
5
Lattice="3.924 0.000 0.000 0.000 3.924 0.000 0.000 0.000 3.924" Properties=species:S:1:pos:R:3 pbc="T T T"
Nb 1.962 1.962 1.962
O 0.000 0.000 0.000
F 0.000 1.962 0.000
F 0.000 0.000 1.962
F 1.962 0.000 0.000
```

Computed properties:
- SG: Pm-3m, No. 221
- Magnetic moment: 0.5130 μB/atom
- Energy relative to the elements, uncorrected: 0.021 eV/atom

11.
Computed, not measured: crystalline Ac2GaGe at its relaxed geometry at the PBE level of DFT.

extended XYZ file:
```
8
Lattice="-0.042 4.063 1.359 -0.849 -2.036 6.058 9.210 0.813 -2.148" Properties=species:S:1:pos:R:3 pbc="T T T"
Ac 3.745 2.954 1.415
Ac 4.575 -0.113 3.855
Ac -0.017 -0.523 4.940
Ac 8.336 3.364 0.330
Ga 2.040 1.985 4.257
Ga 6.280 0.856 1.012
Ge 1.656 0.461 2.048
Ge 6.663 2.380 3.221
```

Computed properties:
- SG: P2_1/m, No. 11
- Magnetic moment: 0.0000 μB/atom
- E_form: -650 meV/atom

12.
Computed, not measured: crystalline KRb2SnCl6 at its relaxed geometry at the PBE level of DFT.

extended XYZ file:
```
20
Lattice="-6.624 -4.267 -0.694 -3.250 -3.326 6.398 -10.736 8.692 3.955" Properties=species:S:1:pos:R:3 pbc="T T T"
K -8.290 -2.488 4.273
K -12.320 3.587 5.385
Rb -13.134 -2.678 6.603
Rb -7.475 3.777 3.055
Rb -15.829 1.384 7.346
Rb -4.781 -0.286 2.312
Sn 0.000 0.000 0.000
Sn -10.305 0.549 4.829
Cl -11.079 -1.709 3.262
Cl -9.369 -1.232 6.856
Cl -7.722 0.453 3.613
Cl -9.530 2.808 6.397
Cl -11.240 2.331 2.803
Cl -12.887 0.645 6.045
Cl -15.109 4.010 4.188
Cl -13.221 4.536 8.157
Cl -11.402 6.398 4.576
Cl -5.500 -2.911 5.471
Cl -7.388 -3.437 1.502
Cl -9.207 -5.299 5.083
```

Computed properties:
- SG: R-3m, No. 166
- Magnetic moment: 0.0000 μB/atom
- Energy relative to the elements, uncorrected: -1.545 eV/atom

13.
Computed, not measured: crystalline SiTe at its relaxed geometry at the PBE level of DFT.

extended XYZ file:
```
4
Lattice="8.758 0.008 0.005 7.896 3.789 0.005 7.896 1.801 3.334" Properties=species:S:1:pos:R:3 pbc="T T T"
Si 8.919 2.034 1.215
Si 15.631 3.564 2.129
Te 2.182 0.498 0.297
Te 22.368 5.101 3.047
```

Computed properties:
- SG: R-3m, No. 166
- Magnetic moment: 0.0000 μB/atom
- Energy relative to the elements, uncorrected: 0.038 eV/atom

14.
Computed, not measured: crystalline Nd4BiPbN at its relaxed geometry at the PBE level of DFT.

extended XYZ file:
```
14
Lattice="-6.754 -0.332 -1.764 1.208 -5.912 -3.514 1.792 -4.259 7.784" Properties=species:S:1:pos:R:3 pbc="T T T"
Nd -4.368 -5.256 3.872
Nd -0.382 -8.033 2.977
Nd 0.615 -5.248 -1.366
Nd -3.371 -2.471 -0.471
Nd -1.877 -5.252 1.253
Nd 0.896 -2.130 3.892
Nd -2.481 -2.296 3.010
Nd 1.500 -5.086 2.135
Bi -2.807 -5.540 -2.052
Bi -0.946 -4.964 4.558
Pb -0.032 -2.411 0.577
Pb -3.721 -8.093 1.929
N 0.116 -6.642 0.808
N -3.869 -3.862 1.698
```

Computed properties:
- SG: Cmcm, No. 63
- Magnetic moment: 0.0000 μB/atom
- Energy relative to the elements, uncorrected: -0.838 eV/atom

15.
Computed, not measured: crystalline NaLi2Ag at its relaxed geometry at the PBE level of DFT.

extended XYZ file:
```
8
Lattice="3.328 0.000 -0.006 0.000 3.328 0.000 0.002 0.000 15.305" Properties=species:S:1:pos:R:3 pbc="T T T"
Na 0.843 0.832 6.138
Na 2.486 2.496 9.162
Li 0.826 0.832 11.573
Li 2.503 2.496 3.727
Li 0.832 0.832 14.467
Li 2.498 2.496 0.832
Ag 0.836 0.832 2.267
Ag 2.493 2.496 13.033
```

Computed properties:
- SG: P2_1/m, No. 11
- Magnetic moment: 0.0000 μB/atom
- E_form: -103 meV/atom
- Energy relative to the lowest polymorph listed for this composition: 0 meV per atom

16.
Computed, not measured: crystalline TlAsI3 at its relaxed geometry at the PBE level of DFT.

extended XYZ file:
```
20
Lattice="0.134 -2.540 11.310 -4.825 -8.475 -1.846 8.165 -6.175 7.007" Properties=species:S:1:pos:R:3 pbc="T T T"
Tl -0.399 -7.595 8.976
Tl 2.224 -3.620 10.552
Tl 3.873 -9.594 7.495
Tl 1.250 -13.569 5.920
As -1.905 -6.649 4.506
As 2.862 -3.316 3.431
As 5.379 -10.540 11.965
As 0.612 -13.873 13.041
I 0.286 -10.468 4.199
I 6.645 -9.520 9.908
I 3.188 -6.721 12.273
I -3.171 -7.670 6.564
I 6.016 -7.895 15.451
I 3.103 -11.025 10.752
I -2.542 -9.294 1.021
I 0.372 -6.165 5.720
I 0.552 -10.797 8.011
I 7.055 -10.779 17.613
I 2.922 -6.392 8.461
I -3.581 -6.410 -1.141
```

Computed properties:
- SG: P2_1/c, No. 14
- Magnetic moment: 0.0000 μB/atom
- Energy relative to the elements, uncorrected: -0.319 eV/atom
- Energy relative to the lowest polymorph listed for this composition: 13 meV per atom

17.
Computed, not measured: crystalline AlTl3Cl6 at its relaxed geometry at the PBE level of DFT.

extended XYZ file:
```
20
Lattice="7.730 0.000 0.000 0.000 9.826 -1.828 0.000 -0.814 9.961" Properties=species:S:1:pos:R:3 pbc="T T T"
Al 0.212 1.203 7.726
Al 4.077 7.809 0.408
Tl 3.641 8.186 5.389
Tl 7.506 6.198 7.593
Tl 3.514 3.500 5.182
Tl 7.379 5.512 2.952
Tl 7.506 0.826 2.744
Tl 3.641 2.814 0.541
Cl 1.665 5.995 5.288
Cl 5.530 5.873 5.423
Cl 1.081 3.118 8.234
Cl 4.946 8.510 2.261
Cl 0.774 -0.205 9.286
Cl 5.803 1.352 7.561
Cl 1.938 7.660 0.572
Cl 4.639 9.217 -1.153
Cl 1.081 0.502 5.873
Cl 4.946 5.894 -0.101
Cl 1.665 3.139 2.710
Cl 5.530 3.017 2.846
```

Computed properties:
- SG: Cmc2_1, No. 36
- Magnetic moment: 0.0000 μB/atom
- Energy relative to the elements, uncorrected: -1.266 eV/atom
- Energy relative to the lowest polymorph listed for this composition: 0 meV per atom

18.
Computed, not measured: crystalline LiV4Te8 at its relaxed geometry at the PBE level of DFT.

extended XYZ file:
```
13
Lattice="6.564 -0.001 -3.541 -4.237 6.138 0.000 0.344 0.238 8.491" Properties=species:S:1:pos:R:3 pbc="T T T"
Li -1.947 3.188 4.245
V 0.000 0.000 0.000
V 4.789 3.306 4.950
V 1.163 3.069 -1.771
V 3.282 0.000 -1.771
Te 0.124 4.617 0.230
Te 2.546 1.758 4.720
Te 2.237 1.544 0.229
Te -0.733 1.755 6.496
Te 0.434 4.831 4.720
Te -2.856 4.831 6.495
Te 5.527 1.544 -1.546
Te 3.403 4.620 -1.546
```

Computed properties:
- SG: R-3m, No. 166
- Magnetic moment: 0.4402 μB/atom
- Energy relative to the elements, uncorrected: -0.365 eV/atom
- Energy relative to the lowest polymorph listed for this composition: 4 meV per atom

19.
Computed, not measured: crystalline TiAlTe2 at its relaxed geometry at the PBE level of DFT.

extended XYZ file:
```
8
Lattice="-5.342 -1.274 3.332 3.054 -4.736 3.085 0.616 0.954 7.544" Properties=species:S:1:pos:R:3 pbc="T T T"
Te -2.743 -1.135 4.317
Te 1.334 -2.895 4.269
Te -0.362 -1.591 8.099
Te -1.576 -4.489 11.238
Al -1.144 -3.005 3.209
Al 1.262 -3.393 6.919
Ti 0.000 0.000 0.000
Ti -2.936 -1.662 7.043
```

Computed properties:
- SG: I-42d, No. 122
- Magnetic moment: 0.7338 μB/atom
- Energy relative to the elements, uncorrected: -0.099 eV/atom

20.
Computed, not measured: crystalline Sr2Ag2Hg at its relaxed geometry at the PBE level of DFT.

extended XYZ file:
```
10
Lattice="8.920 0.000 0.000 0.000 8.920 0.000 0.000 0.000 4.069" Properties=species:S:1:pos:R:3 pbc="T T T"
Sr 2.927 7.387 0.000
Sr 7.387 5.993 0.000
Sr 5.993 1.533 0.000
Sr 1.533 2.927 0.000
Hg 0.000 0.000 0.000
Hg 4.460 4.460 0.000
Ag 1.034 5.494 2.035
Ag 5.494 7.885 2.035
Ag 7.885 3.426 2.035
Ag 3.426 1.034 2.035
```

Computed properties:
- SG: P4/mbm, No. 127
- Magnetic moment: 0.0000 μB/atom
- E_form: -216 meV/atom
- Energy relative to the lowest polymorph listed for this composition: 142 meV per atom

21.
Computed, not measured: crystalline AcZrZn at its relaxed geometry at the PBE level of DFT.

extended XYZ file:
```
3
Lattice="-3.044 0.685 -1.815 -0.534 -3.543 -0.441 -1.409 1.253 6.424" Properties=species:S:1:pos:R:3 pbc="T T T"
Ac -0.021 -0.001 0.034
Zn -3.028 -1.497 0.924
Zr -1.938 -0.107 3.211
```

Computed properties:
- SG: I4mm, No. 107
- Magnetic moment: 0.0000 μB/atom
- E_form: 14 meV/atom
- Energy relative to the lowest polymorph listed for this composition: 9 meV per atom

22.
Computed, not measured: crystalline La2Nd3TmSe6 at its relaxed geometry at the PBE level of DFT.

extended XYZ file:
```
12
Lattice="4.200 0.000 0.000 0.000 8.506 0.325 -2.100 -2.429 8.866" Properties=species:S:1:pos:R:3 pbc="T T T"
La 2.100 4.036 6.124
La 0.000 2.041 3.067
Nd 2.100 4.253 0.162
Nd 2.100 -0.198 5.889
Nd 0.000 6.275 3.302
Tm 2.100 0.000 0.000
Se 0.000 6.193 6.337
Se 2.100 4.190 3.121
Se 2.100 -0.116 2.854
Se 2.100 -0.423 8.890
Se 0.000 6.500 0.300
Se 0.000 1.887 6.070
```

Computed properties:
- SG: C2/m, No. 12
- Magnetic moment: 0.0000 μB/atom
- Energy relative to the elements, uncorrected: -1.860 eV/atom

23.
Computed, not measured: crystalline ZnSbI2Cl at its relaxed geometry at the PBE level of DFT.

extended XYZ file:
```
5
Lattice="6.649 0.000 0.000 0.000 6.649 0.000 0.000 0.000 4.961" Properties=species:S:1:pos:R:3 pbc="T T T"
I 0.000 3.324 0.000
I 3.324 0.000 0.000
Sb 0.000 0.000 2.481
Zn 3.324 3.324 2.481
Cl 0.000 0.000 0.000
```

Computed properties:
- SG: P4/mmm, No. 123
- Magnetic moment: 0.0000 μB/atom
- Energy relative to the elements, uncorrected: 0.605 eV/atom
- Energy relative to the lowest polymorph listed for this composition: 391 meV per atom